Entry 1:
Density functional theory data (PBE) for SrIrN3 after structural relaxation.

* size of the total moment: 0.00 μB/cell
* formation energy without anion corrections: 0.4225 eV/atom
* density of states at the Fermi level: 3.68 states/eV/f.u.
* E: -33.4 eV per cell

a b c (Å): 3.941 3.941 3.941
angles (deg): 90.00 90.00 90.00
Space group Pm-3m (No. 221)
Asymmetric unit:
Sr  0.000  0.000  0.000 (multiplicity 1)
Ir  0.500  0.500  0.500 (multiplicity 1)
N  0.000  0.500  0.500 (multiplicity 3)

---

Entry 2:
Density functional theory data (PBE) for LiMnCl2 after structural relaxation.

* size of the total moment: 12.20 μB/cell
* formation energy without anion corrections: -0.7421 eV/atom
* density of states at the Fermi level: 2.15 states/eV/f.u.
* E: -53.2 eV per cell

a b c (Å): 3.6648 3.6648 23.2663
angles (deg): 90.00 90.00 120.00
Space group R-3m (No. 166, hexagonal axes)
Asymmetric unit:
Li  0.0000  0.0000  0.0000 (multiplicity 3)
Mn  0.0000  0.0000  0.5000 (multiplicity 3)
Cl  0.0000  0.0000  0.1038 (multiplicity 6)